A plane-wave DFT calculation with SCAN was carried out for a crystal of Zr2Pd2Au relaxed with PBEsol.

## Properties
Its raw total energy is -40.00 eV/atom. As for the volume: 90 Å³/f.u. Its space-group type is P4/mbm (127). The formation energy is -0.782 eV per atom.

Cell lengths 7.3213, 7.3213, 3.3575 Å; angles 90.00, 90.00, 90.00 degrees
Closest atoms and distances in Å follow each position.
Fractional coordinates of all 10 atoms:
Zr1 0.1747 0.3253 0.0000  6 Pd 2.64-2.80
Zr2 0.3253 0.8253 0.0000  6 Pd 2.64-2.80
Zr3 0.6747 0.1747 0.0000  6 Pd 2.64-2.80
Zr4 0.8253 0.6747 0.0000  6 Pd 2.64-2.80
Pd1 0.1282 0.6282 0.5000  6 Zr 2.64-2.80, 1 Pd 2.66, 2 Au 2.88
Pd2 0.3718 0.1282 0.5000  6 Zr 2.64-2.80, 1 Pd 2.66, 2 Au 2.88
Pd3 0.6282 0.8718 0.5000  6 Zr 2.64-2.80, 1 Pd 2.66, 2 Au 2.88
Pd4 0.8718 0.3718 0.5000  6 Zr 2.64-2.80, 1 Pd 2.66, 2 Au 2.88
Au1 0.0000 0.0000 0.5000  4 Pd 2.88, 8 Zr 3.18
Au2 0.5000 0.5000 0.5000  4 Pd 2.88, 8 Zr 3.18